1.
Density functional theory data (PBE) for a relaxed KTlMo2 crystal.

a b c (Å): 3.2716 3.2716 9.0790
angles (deg): 90.00 90.00 90.00
Fractional coordinates of all 4 atoms:
K (0.5000, 0.5000, 0.7600)
Tl (0.0000, 0.0000, 0.4472)
Mo (0.5000, 0.5000, 0.2103)
Mo (0.0000, 0.0000, 0.0825)

Computed properties:
**SG**: P4mm
**Polymorph energy (0 for the lowest one)**: 0 meV/atom
**Electronic total energy**: -22.77 eV for the cell shown
**Energy of formation**: 0.59 eV/atom
**Total magnetic moment**: 0.00 μB/f.u.
**Density**: 7.4 Mg/m³


2.
Density functional theory data (PBE) for a relaxed HfGa2MoPb crystal.

a b c (Å): 5.0914 5.2698 5.0914
angles (deg): 90.00 90.00 90.00
Each line ends with the local moment (μB).
Fractional coordinates of all 5 atoms:
Ga (0.0000, 0.0000, 0.5000)  -0.01
Ga (0.5000, 0.0000, 0.0000)  0.01
Pb (0.0000, 0.0000, 0.0000)  -0.01
Mo (0.0000, 0.5000, 0.0000)  2.16
Hf (0.5000, 0.5000, 0.5000)  -0.32

Computed properties:
**SG**: P4/mmm
**Electronic total energy**: -22.58 eV for the cell shown
**Energy of formation**: 1.59 eV/atom
**Total magnetic moment**: 2.06 μB/f.u.
**Density**: 7.5 Mg/m³


3.
Density functional theory data (PBE) for a relaxed ScTa2Rh crystal.

a b c (Å): 4.7643 4.7643 3.0689
angles (deg): 90.00 90.00 90.00
Fractional coordinates of all 4 atoms:
Rh (0.5000, 0.0000, 0.5000)
Ta (0.0000, 0.0000, 0.0000)
Ta (0.5000, 0.5000, 0.0000)
Sc (0.0000, 0.5000, 0.5000)

Computed properties:
**SG**: P4/mmm
**Polymorph energy (0 for the lowest one)**: 374 meV/atom
**Electronic total energy**: -37.32 eV for the cell shown
**Energy of formation**: 0.02 eV/atom
**Total magnetic moment**: 0.00 μB/f.u.
**Density**: 12.2 Mg/m³